Entry 1:
# KCrP3

A relaxed KCrP3 crystal (GGA-PBE, Alexandria).

Properties
formation energy from the elements: 1253 kJ/mol of formula units
polymorph energy (0 for the lowest one): 12.211 eV/f.u.

Cell: 5.0103 5.0103 5.0103 Å, 90.00 90.00 90.00°
Closest atoms and distances in Å follow each position.
Space group Pm-3m (No. 221)
Inequivalent atoms, fractional coordinates:
K  0.0000  0.0000  0.0000 (multiplicity 1)  6 P 2.51
Cr  0.5000  0.5000  0.5000 (multiplicity 1)  12 P 3.54
P  0.0000  0.0000  0.5000 (multiplicity 3)  2 K 2.51

---

Entry 2:
# LaTb5Zn4

A relaxed LaTb5Zn4 crystal (GGA-PBE, Alexandria).

Properties
formation energy from the elements: -257 kJ/mol of formula units

Cell: 3.5954 3.5954 19.5682 Å, 90.00 90.00 90.00°
Closest atoms and distances in Å follow each position.
Space group P4/mmm (No. 123)
Inequivalent atoms, fractional coordinates:
La  0.0000  0.0000  0.0000 (multiplicity 1)  4 La 3.60, 8 Tb 3.69
Tb  0.5000  0.5000  0.1369 (multiplicity 2)  4 Zn 3.09
Tb  0.5000  0.5000  0.3186 (multiplicity 2)  8 Zn 3.09-3.12
Tb  0.5000  0.5000  0.5000 (multiplicity 1)  8 Zn 3.11
Zn  0.0000  0.0000  0.2264 (multiplicity 2)  8 Tb 3.09-3.12
Zn  0.0000  0.0000  0.4082 (multiplicity 2)  8 Tb 3.09-3.11

---

Entry 3:
# SmTm2H

A relaxed SmTm2H crystal (GGA-PBE, Alexandria).

Properties
polymorph energy (0 for the lowest one): 0.000 eV/f.u.

Cell: 3.5645 3.5645 25.3452 Å, 90.00 90.00 120.00°
Closest atoms and distances in Å follow each position.
Space group R-3m (No. 166, hexagonal axes)
Inequivalent atoms, fractional coordinates:
Sm  0.0000  0.0000  0.0000 (multiplicity 3)  6 Tm 3.54, 6 Sm 3.56
Tm  0.0000  0.0000  0.2198 (multiplicity 6)  3 H 2.46
H  0.0000  0.0000  0.5000 (multiplicity 3)  6 Tm 2.46

---

Entry 4:
# TbHoOs

A relaxed TbHoOs crystal (GGA-PBE, Alexandria).

Properties
formation energy from the elements: -56 kJ/mol of formula units
polymorph energy (0 for the lowest one): 0.120 eV/f.u.

Cell: 6.7638 3.3605 7.0714 Å, 90.00 104.05 90.00°
Closest atoms and distances in Å follow each position.
Space group P2/m (No. 10)
Inequivalent atoms, fractional coordinates:
Tb  0.0625  0.0000  0.2439 (multiplicity 2)  4 Os 2.91-2.92
Ho  0.4393  0.0000  0.7594 (multiplicity 2)  4 Os 2.90
Os  0.2508  0.5000  0.9996 (multiplicity 2)  4 Ho 2.90, 4 Tb 2.91-2.92

---

no.,electronic total energy (eV/cell)
1,-14.0
2,-35.8
3,-53.4
4,-42.0